1.
A relaxed ThMg3Cu3 crystal. Source: Alexandria, functional GGA-PBE.

Total DFT energy (no corrections) (eV per atom): -3.605
Energy of formation from the pure elements (meV/atom): -106
Offset from the most stable computed form (meV per atom): 0
Symmetry: No. 176

Lattice parameters (Å, degrees): 8.5029 8.5029 4.3889 90.00 90.00 120.00
With the nearest neighbours (Å) after each atom.
Atoms (fractional coordinates):
Th  0.3333  0.6667  0.2500  9 Cu 2.93-3.05
Th  0.6667  0.3333  0.7500  9 Cu 2.93-3.05
Mg  0.0409  0.2700  0.7500  4 Cu 2.68-2.79
Mg  0.2290  0.9591  0.7500  4 Cu 2.68-2.79
Mg  0.2700  0.2290  0.2500  4 Cu 2.68-2.79
Mg  0.7300  0.7710  0.7500  4 Cu 2.68-2.79
Mg  0.7710  0.0409  0.2500  4 Cu 2.68-2.79
Mg  0.9591  0.7300  0.2500  4 Cu 2.68-2.79
Cu  0.0563  0.5953  0.7500  2 Cu 2.61, 4 Mg 2.68-2.79
Cu  0.4047  0.4610  0.7500  2 Cu 2.61, 4 Mg 2.68-2.79
Cu  0.4610  0.0563  0.2500  2 Cu 2.61, 4 Mg 2.68-2.79
Cu  0.5390  0.9437  0.7500  2 Cu 2.61, 4 Mg 2.68-2.79
Cu  0.5953  0.5390  0.2500  2 Cu 2.61, 4 Mg 2.68-2.79
Cu  0.9437  0.4047  0.2500  2 Cu 2.61, 4 Mg 2.68-2.79



2.
A relaxed BaCuNiIr crystal. Source: Alexandria, functional GGA-PBE.

Total DFT energy (no corrections) (eV per atom): -5.250
Energy of formation from the pure elements (meV/atom): -85
Symmetry: No. 8

Lattice parameters (Å, degrees): 4.2753 4.2753 5.9983 111.07 111.07 60.10
With the nearest neighbours (Å) after each atom.
Atoms (fractional coordinates):
Ba  0.0000  0.0000  0.0000  1 Ni 3.02, 1 Cu 3.05
Cu  0.1861  0.1861  0.5587  3 Ir 2.50-2.51, 3 Ni 2.53-2.55
Ni  0.8161  0.8161  0.4466  3 Ir 2.47-2.48, 3 Cu 2.53-2.55
Ir  0.4928  0.4928  0.4797  3 Ni 2.47-2.48, 3 Cu 2.50-2.51



3.
A relaxed LiNdNb2N4 crystal. Source: Alexandria, functional GGA-PBE.

Total DFT energy (no corrections) (eV per atom): -8.567
ΔE_f (raw) (eV/atom): -1.051
Symmetry: No. 63

Lattice parameters (Å, degrees): 5.5204 5.5204 10.6783 90.00 90.00 145.28
With the nearest neighbours (Å) after each atom.
Atoms (fractional coordinates):
Li  0.1611  0.8389  0.7500  4 N 1.88-1.92
Li  0.8389  0.1611  0.2500  4 N 1.88-1.92
Nd  0.1104  0.8896  0.2500  6 N 2.49-2.57
Nd  0.8896  0.1104  0.7500  6 N 2.49-2.57
Nb  0.3753  0.6247  0.0512  4 N 2.05-2.21
Nb  0.3753  0.6247  0.4488  4 N 2.05-2.21
Nb  0.6247  0.3753  0.5512  4 N 2.05-2.21
Nb  0.6247  0.3753  0.9488  4 N 2.05-2.21
N  0.0000  0.0000  0.0000  4 Nb 2.18
N  0.0000  0.0000  0.5000  4 Nb 2.18
N  0.2689  0.7311  0.6092  1 Li 1.88, 1 Nb 2.05
N  0.2689  0.7311  0.8908  1 Li 1.88, 1 Nb 2.05
N  0.4327  0.5673  0.2500  2 Li 1.92
N  0.5673  0.4327  0.7500  2 Li 1.92
N  0.7311  0.2689  0.1092  1 Li 1.88, 1 Nb 2.05
N  0.7311  0.2689  0.3908  1 Li 1.88, 1 Nb 2.05



4.
A relaxed PmPaPdN3 crystal. Source: Alexandria, functional GGA-PBE.

Total DFT energy (no corrections) (eV per atom): -8.348
ΔE_f (raw) (eV/atom): -0.945
Symmetry: No. 11

Lattice parameters (Å, degrees): 6.5417 3.5653 9.3111 90.00 99.52 90.00
With the nearest neighbours (Å) after each atom.
Atoms (fractional coordinates):
Pm  0.1389  0.2500  0.1680  5 N 2.35-2.62
Pm  0.8611  0.7500  0.8320  5 N 2.35-2.62
Pa  0.3675  0.2500  0.8405  3 N 2.16-2.31
Pa  0.6325  0.7500  0.1595  3 N 2.16-2.31
Pd  0.0841  0.7500  0.5953  2 N 2.12
Pd  0.9159  0.2500  0.4047  2 N 2.12
N  0.0362  0.2500  0.7077  2 Pd 2.12, 1 Pa 2.31
N  0.2528  0.7500  0.9899  3 Pa 2.45-2.71, 3 Pm 2.62-2.74
N  0.4994  0.7500  0.7614  2 Pa 2.16, 1 Pm 2.35
N  0.5006  0.2500  0.2386  2 Pa 2.16, 1 Pm 2.35
N  0.7472  0.2500  0.0101  3 Pa 2.45-2.71, 3 Pm 2.62-2.74
N  0.9638  0.7500  0.2923  2 Pd 2.12, 1 Pa 2.31



5.
A relaxed Li2Ti3O7 crystal. Source: Alexandria, functional GGA-PBE.

Total DFT energy (no corrections) (eV per atom): -7.966
ΔE_f (raw) (eV/atom): -2.781
Offset from the most stable computed form (meV per atom): 40
Symmetry: No. 11

Lattice parameters (Å, degrees): 7.7402 3.7698 9.5450 90.00 96.10 90.00
With the nearest neighbours (Å) after each atom.
Atoms (fractional coordinates):
Li  0.0058  0.2500  0.2975  1 O 1.94
Li  0.1949  0.7500  0.0545  1 O 1.88
Li  0.8051  0.2500  0.9455  1 O 1.88
Li  0.9942  0.7500  0.7025  1 O 1.94
Ti  0.2351  0.2500  0.8395  1 O 1.73
Ti  0.3405  0.2500  0.5308  4 O 1.80-1.97
Ti  0.4443  0.2500  0.2247  4 O 1.78-1.95
Ti  0.5557  0.7500  0.7753  4 O 1.78-1.95
Ti  0.6595  0.7500  0.4692  4 O 1.80-1.97
Ti  0.7649  0.7500  0.1605  1 O 1.73
O  0.0178  0.2500  0.8665  1 Ti 1.73, 1 Li 1.88
O  0.1555  0.2500  0.6310  2 Ti 1.80-2.02
O  0.2558  0.2500  0.3427  2 Ti 1.84-1.94, 1 Li 1.94
O  0.2987  0.7500  0.8438  3 Ti 1.95-2.16
O  0.3177  0.2500  0.0571  1 Ti 1.78
O  0.4103  0.7500  0.5553  3 Ti 1.97-2.18
O  0.4953  0.2500  0.7494  2 Ti 1.95
O  0.5047  0.7500  0.2506  2 Ti 1.95
O  0.5897  0.2500  0.4447  3 Ti 1.97-2.18
O  0.6823  0.7500  0.9429  1 Ti 1.78
O  0.7013  0.2500  0.1562  3 Ti 1.95-2.16
O  0.7442  0.7500  0.6573  2 Ti 1.84-1.94, 1 Li 1.94
O  0.8445  0.7500  0.3690  2 Ti 1.80-2.02
O  0.9822  0.7500  0.1335  1 Ti 1.73, 1 Li 1.88



6.
A relaxed HgBi2I crystal. Source: Alexandria, functional GGA-PBE.

Total DFT energy (no corrections) (eV per atom): -2.341
ΔE_f (raw) (eV/atom): 0.063
Offset from the most stable computed form (meV per atom): 0
Symmetry: No. 122

Lattice parameters (Å, degrees): 12.2951 12.2951 12.2951 157.03 157.03 32.71
With the nearest neighbours (Å) after each atom.
Atoms (fractional coordinates):
Hg  0.0000  0.0000  0.0000  4 Bi 3.33, 4 I 3.46
Hg  0.7500  0.2500  0.5000  4 Bi 3.33, 4 I 3.46
Bi  0.0700  0.6250  0.9450  2 Bi 3.10, 2 Hg 3.33
Bi  0.3750  0.3200  0.4450  2 Bi 3.10, 2 Hg 3.33
Bi  0.6800  0.1250  0.0550  2 Bi 3.10, 2 Hg 3.33
Bi  0.8750  0.9300  0.5550  2 Bi 3.10, 2 Hg 3.33
I  0.2500  0.7500  0.5000  4 Hg 3.46, 4 Bi 3.53
I  0.5000  0.5000  0.0000  4 Hg 3.46, 4 Bi 3.53



> Which formula does entry 4 have?

PmPaPdN3



> Among the records above, which one has the lowest total DFT energy (no corrections)?

LiNdNb2N4